The following is a GGA-PBE calculation of a geometry-optimized LaGaPdSe2 structure, from Alexandria via LeMat-Bulk.

- total magnetization (μB per atom) = 0.000
- formation energy from raw total energies (eV/atom) = -0.149
- E (eV for the cell shown) = -20.86

a = 5.778 Å, b = 5.271 Å, c = 5.778 Å
α = 90.00°, β = 90.00°, γ = 90.00°
Atoms (fractional coordinates):
Ga  0.500  0.500  0.500
Se  0.000  0.000  0.500
Se  0.500  0.000  0.000
Pd  0.000  0.500  0.000
La  0.000  0.000  0.000